Entry 1:
A plane-wave DFT calculation with PBE-GGA was carried out for a geometry-optimized TaNiHg structure.

Values from the calculation:
Energy above the most stable polymorph in this dataset = 170.1 meV/atom
Energy relative to the elements = 0.15 eV/atom

Cell: 6.5249 3.0306 10.7570 Å, 90.00 107.77 90.00°
Atoms (fractional coordinates):
Ta 0.7178 0.0000 0.5183
Ta 0.7178 0.5000 0.0183
Ta 0.6047 0.0000 0.2136
Ta 0.6047 0.5000 0.7136
Ni 0.9781 0.0000 0.1967
Ni 0.9781 0.5000 0.6967
Ni 0.8870 0.0000 0.8731
Ni 0.8870 0.5000 0.3731
Hg 0.2015 0.0000 0.5633
Hg 0.2015 0.5000 0.0633
Hg 0.3241 0.0000 0.8553
Hg 0.3241 0.5000 0.3553

=====

Entry 2:
A plane-wave DFT calculation with PBE-GGA was carried out for a geometry-optimized Ba3CdTe structure.

Values from the calculation:
Energy above the most stable polymorph in this dataset = 0.0 meV/atom
Formation energy from raw total energies = -472.5 meV per atom

Cell: 6.6128 6.6128 6.6128 Å, 90.00 90.00 90.00°
Atoms (fractional coordinates):
Te 0.0000 0.0000 0.0000
Ba 0.0000 0.5000 0.0000
Ba 0.0000 0.0000 0.5000
Ba 0.5000 0.0000 0.0000
Cd 0.5000 0.5000 0.5000

=====

Entry 3:
A plane-wave DFT calculation with PBE-GGA was carried out for a geometry-optimized PmNdPd structure.

Values from the calculation:
Energy above the most stable polymorph in this dataset = 23.1 meV/atom
Energy relative to the elements = -0.45 eV/atom

Cell: 3.6789 3.6789 6.6756 Å, 105.99 105.99 90.00°
Atoms (fractional coordinates):
Nd 0.0255 0.0255 0.0511
Pd 0.6690 0.6690 0.3380
Pm 0.3054 0.3054 0.6109

=====

Entry 4:
A plane-wave DFT calculation with PBE-GGA was carried out for a geometry-optimized Sm12YTm6 structure.

Values from the calculation:
Energy above the most stable polymorph in this dataset = 102.4 meV/atom
Energy relative to the elements = 0.25 eV/atom

Cell: 9.1708 9.1708 9.1708 Å, 106.59 106.59 106.59°
Atoms (fractional coordinates):
Sm 0.4824 0.1924 0.5795
Sm 0.1924 0.5795 0.4824
Sm 0.5795 0.4824 0.1924
Sm 0.5176 0.8076 0.4205
Sm 0.8076 0.4205 0.5176
Sm 0.4205 0.5176 0.8076
Sm 0.2783 0.1366 0.8275
Sm 0.1725 0.7217 0.8634
Sm 0.8634 0.1725 0.7217
Sm 0.7217 0.8634 0.1725
Sm 0.8275 0.2783 0.1366
Sm 0.1366 0.8275 0.2783
Y 0.0000 0.0000 0.0000
Tm 0.0749 0.1885 0.4574
Tm 0.8115 0.5426 0.9251
Tm 0.5426 0.9251 0.8115
Tm 0.9251 0.8115 0.5426
Tm 0.1885 0.4574 0.0749
Tm 0.4574 0.0749 0.1885

=====

Entry 5:
A plane-wave DFT calculation with PBE-GGA was carried out for a geometry-optimized CsTiTeS4 structure.

Values from the calculation:
Formation energy from raw total energies = -740.8 meV per atom

Cell: 6.6992 7.1495 9.5507 Å, 90.00 106.70 90.00°
Atoms (fractional coordinates):
Cs 0.7261 0.7500 0.9244
Cs 0.2739 0.2500 0.0756
Ti 0.1800 0.7500 0.3228
Ti 0.8200 0.2500 0.6772
Te 0.6853 0.7500 0.4238
Te 0.3147 0.2500 0.5762
S 0.0239 0.4974 0.7177
S 0.9761 0.9974 0.2823
S 0.9761 0.5026 0.2823
S 0.0239 0.0026 0.7177
S 0.4198 0.7500 0.1840
S 0.5802 0.2500 0.8160
S 0.4222 0.7500 0.5566
S 0.5778 0.2500 0.4434

=====

Entry 6:
A plane-wave DFT calculation with PBE-GGA was carried out for a geometry-optimized Mg2SeBr2 structure.

Values from the calculation:
Formation energy from raw total energies = -1386.8 meV per atom

Cell: 3.8903 3.8903 10.3827 Å, 90.14 90.00 120.00°
Atoms (fractional coordinates):
Mg 0.8328 0.6656 0.3463
Mg 0.1672 0.3344 0.6537
Se 0.5000 0.0000 0.5000
Br 0.1654 0.3308 0.2016
Br 0.8346 0.6692 0.7984

=====

Entry 7:
A plane-wave DFT calculation with PBE-GGA was carried out for a geometry-optimized Ba4ScCd structure.

Values from the calculation:
Energy relative to the elements = 0.54 eV/atom

Cell: 7.3780 7.3780 7.3780 Å, 60.00 60.00 60.00°
Atoms (fractional coordinates):
Ba 0.8757 0.3748 0.3748
Ba 0.3748 0.3748 0.8757
Ba 0.3748 0.8757 0.3748
Ba 0.3748 0.3748 0.3748
Sc 0.0000 0.0000 0.0000
Cd 0.7500 0.7500 0.7500

=====

Entry 8:
A plane-wave DFT calculation with PBE-GGA was carried out for a geometry-optimized CaTa2Re structure.

Values from the calculation:
Energy above the most stable polymorph in this dataset = 75.5 meV/atom
Energy relative to the elements = 0.43 eV/atom

Cell: 4.3268 2.9703 6.4474 Å, 78.84 90.00 90.00°
Atoms (fractional coordinates):
Re 0.5000 0.7500 0.7500
Ca 0.5000 0.2500 0.2500
Ta 0.0000 0.9841 0.9443
Ta 0.0000 0.5159 0.5557

=====

no.,electronic total energy (eV per atom)
1,-5.833
2,-2.438
3,-5.358
4,-4.487
5,-4.798
6,-3.391
7,-1.953
8,-9.106